12
Lattice="-0.5668 4.2220 -3.2319 -4.1417 1.6875 2.9309 5.9198 0.0545 3.4565" Properties=species:S:1:pos:R:3 comment="PBE with a Hubbard U SrPaMo2O8, relaxed" energy_ev_per_atom=-7.812 sg="I-4 (82)" pbc="T T T"
Mo -0.2881 2.3484 3.1184
Mo -2.3542 2.9548 -0.1505
O 2.3270 1.7765 4.2352
O 3.7020 3.3118 1.3548
O -2.0288 2.9404 2.7026
O -3.0049 4.7154 0.4773
O -0.3790 4.9109 -0.8704
O 0.9054 3.6292 2.4196
O -0.6014 2.1244 0.2436
O 3.9250 0.4475 2.0591
Sr 1.4994 3.6157 0.0371
Pa 0.0000 0.0000 0.0000